DFT (PBE) results for crystalline Tb3MgAl2Cd2In at its relaxed geometry.

Lattice parameters (Å, degrees): 4.587 7.349 7.349 119.82 90.00 90.00
Sites, in units of the cell vectors:
1 Al 0.500 0.664 0.333
2 Al 0.500 0.333 0.664
3 Cd 0.500 0.998 0.253
4 Cd 0.500 0.253 0.998
5 In 0.000 0.998 0.998
6 Mg 0.500 0.757 0.757
7 Tb 0.000 0.435 0.435
8 Tb 0.000 0.000 0.562
9 Tb 0.000 0.562 0.000

## Properties
Space-group type = Amm2 (38)
Electronic total energy = -3.445 eV per atom